Entry 1:
A geometry-optimized Y2Ti2InRh5 structure, computed with PBE.

Computed properties:
Calculated formation energy: -6.2 eV per formula unit
DFT total energy: -7.445 eV per atom
Density: 8.23 g/cm³
SG: P4/mbm, No. 127

abc: 10.008 10.008 3.639
angles: 90.00 90.00 90.00
Fractional positions:
Y1 0.181 0.319 0.000
Y2 0.319 0.819 0.000
Y3 0.681 0.181 0.000
Y4 0.819 0.681 0.000
Ti1 0.118 0.618 0.000
Ti2 0.382 0.118 0.000
Ti3 0.618 0.882 0.000
Ti4 0.882 0.382 0.000
In1 0.000 0.000 0.000
In2 0.500 0.500 0.000
Rh1 0.000 0.500 0.500
Rh2 0.065 0.788 0.500
Rh3 0.212 0.065 0.500
Rh4 0.288 0.565 0.500
Rh5 0.435 0.288 0.500
Rh6 0.500 0.000 0.500
Rh7 0.565 0.712 0.500
Rh8 0.712 0.435 0.500
Rh9 0.788 0.935 0.500
Rh10 0.935 0.212 0.500



Entry 2:
A geometry-optimized Pm4AlCl5 structure, computed with PBE.

Computed properties:
Formation energy from raw total energies: -36.249 kcal/mol of atoms
DFT total energy: -4.770 eV per atom
Density: 4.26 g/cm³
SG: C2/m, No. 12

abc: 9.409 9.409 8.618
angles: 103.34 103.34 24.37
Fractional positions:
Pm1 0.000 0.000 0.244
Pm2 0.000 0.000 0.756
Pm3 0.342 0.342 0.908
Pm4 0.658 0.658 0.092
Al1 0.500 0.500 0.000
Cl1 0.165 0.165 0.326
Cl2 0.173 0.173 0.858
Cl3 0.500 0.500 0.500
Cl4 0.827 0.827 0.142
Cl5 0.835 0.835 0.674



Entry 3:
A geometry-optimized Cs2CoBr4 structure, computed with PBE.

Computed properties:
Formation energy from raw total energies: -27.789 kcal/mol of atoms
DFT total energy: -3.420 eV per atom
Density: 3.78 g/cm³
SG: Pnma, No. 62

abc: 10.416 7.839 13.874
angles: 90.00 90.00 90.00
Fractional positions:
Cs1 0.021 0.250 0.170
Cs2 0.136 0.750 0.408
Cs3 0.364 0.250 0.908
Cs4 0.479 0.750 0.670
Cs5 0.521 0.250 0.330
Cs6 0.636 0.750 0.092
Cs7 0.864 0.250 0.592
Cs8 0.979 0.750 0.830
Co1 0.236 0.750 0.077
Co2 0.264 0.250 0.577
Co3 0.736 0.750 0.423
Co4 0.764 0.250 0.923
Br1 0.007 0.750 0.098
Br2 0.175 0.000 0.650
Br3 0.175 0.500 0.650
Br4 0.189 0.250 0.413
Br5 0.311 0.750 0.913
Br6 0.325 0.000 0.150
Br7 0.325 0.500 0.150
Br8 0.493 0.250 0.598
Br9 0.507 0.750 0.402
Br10 0.675 0.000 0.850
Br11 0.675 0.500 0.850
Br12 0.689 0.250 0.087
Br13 0.811 0.750 0.587
Br14 0.825 0.000 0.350
Br15 0.825 0.500 0.350
Br16 0.993 0.250 0.902



Entry 4:
A geometry-optimized RbTa structure, computed with PBE.

Computed properties:
Calculated formation energy: 1.6 eV per formula unit
DFT total energy: -5.618 eV per atom
Polymorph energy (0 for the lowest one): 0 kJ/mol of formula units
Density: 3.96 g/cm³
SG: P4/m, No. 83

abc: 13.457 13.457 4.931
angles: 90.00 90.00 90.00
Fractional positions:
Rb1 0.103 0.364 0.000
Rb2 0.194 0.668 0.500
Rb3 0.332 0.194 0.500
Rb4 0.364 0.897 0.000
Rb5 0.636 0.103 0.000
Rb6 0.668 0.806 0.500
Rb7 0.806 0.332 0.500
Rb8 0.897 0.636 0.000
Ta1 0.037 0.135 0.500
Ta2 0.070 0.878 0.000
Ta3 0.122 0.070 0.000
Ta4 0.135 0.963 0.500
Ta5 0.865 0.037 0.500
Ta6 0.878 0.930 0.000
Ta7 0.930 0.122 0.000
Ta8 0.963 0.865 0.500